No. 1
CaZn4Pt4: optimized geometry, PBE.

Summary:
DOS(E_F) (states/eV per atom): 0.509
Energy of formation from the pure elements (eV per atom): -0.567
Calculated density (Mg/m³): 11.3
M_tot (μB/atom): 0.000

Structure (CIF):
```
data_CaZn4Pt4
_symmetry_space_group_name_H-M 'P 42/n m c'
_symmetry_Int_Tables_number 137
_cell_length_a 5.924
_cell_length_b 5.924
_cell_length_c 9.078
_cell_angle_alpha 90.00
_cell_angle_beta 90.00
_cell_angle_gamma 90.00
loop_
_symmetry_equiv_pos_as_xyz
'x,y,z'
'-x,-y,-z'
'-y+1/2,x,z+1/2'
'y+1/2,-x,-z+1/2'
'-x+1/2,-y+1/2,z'
'x+1/2,y+1/2,-z'
'y,-x+1/2,z+1/2'
'-y,x+1/2,-z+1/2'
'x+1/2,-y,-z'
'-x+1/2,y,z'
'-y,-x,-z+1/2'
'y,x,z+1/2'
'-x,y+1/2,-z'
'x,-y+1/2,z'
'y+1/2,x+1/2,-z+1/2'
'-y+1/2,-x+1/2,z+1/2'
loop_
_atom_site_label
_atom_site_type_symbol
_atom_site_fract_x
_atom_site_fract_y
_atom_site_fract_z
Ca1 Ca 0.250 0.750 0.250
Zn1 Zn 0.035 0.250 0.046
Pt1 Pt 0.024 0.250 0.341
```

=====

No. 2
Pr5NdEr2: optimized geometry, PBE.

Summary:
DOS(E_F) (states/eV per atom): 1.330
Energy of formation from the pure elements (eV per atom): 0.011
Calculated density (Mg/m³): 7.1
M_tot (μB/atom): 0.000

Structure (CIF):
```
data_Pr5NdEr2
_symmetry_space_group_name_H-M 'P b a m'
_symmetry_Int_Tables_number 55
_cell_length_a 7.308
_cell_length_b 14.617
_cell_length_c 5.166
_cell_angle_alpha 90.00
_cell_angle_beta 90.00
_cell_angle_gamma 90.00
loop_
_symmetry_equiv_pos_as_xyz
'x,y,z'
'-x,-y,-z'
'-x,-y,z'
'x,y,-z'
'x+1/2,-y+1/2,-z'
'-x+1/2,y+1/2,z'
'-x+1/2,y+1/2,-z'
'x+1/2,-y+1/2,z'
loop_
_atom_site_label
_atom_site_type_symbol
_atom_site_fract_x
_atom_site_fract_y
_atom_site_fract_z
Pr1 Pr 0.000 0.000 0.000
Pr2 Pr 0.000 0.250 0.000
Pr3 Pr 0.250 0.125 0.500
Nd1 Nd 0.000 0.500 0.000
Er1 Er 0.250 0.375 0.500
```

=====

No. 3
K2MgPdCl6: optimized geometry, PBE.

Summary:
DOS(E_F) (states/eV per atom): 0.235
ΔE_f (raw) (meV/atom): -1413
Calculated density (Mg/m³): 2.6
M_tot (μB/atom): 0.190

Structure (CIF):
```
data_K2MgPdCl6
_symmetry_space_group_name_H-M 'R -3 m'
_symmetry_Int_Tables_number 166
_symmetry_space_group_name_Hall '-R 3 2"'
_cell_length_a 7.1040
_cell_length_b 7.1040
_cell_length_c 36.2909
_cell_angle_alpha 90.00
_cell_angle_beta 90.00
_cell_angle_gamma 120.00
loop_
_atom_site_label
_atom_site_type_symbol
_atom_site_fract_x
_atom_site_fract_y
_atom_site_fract_z
K1 K 0.0000 0.0000 0.1199
K2 K 0.0000 0.0000 0.2980
Mg1 Mg 0.0000 0.0000 0.4149
Pd1 Pd 0.0000 0.0000 0.0000
Pd2 Pd 0.0000 0.0000 0.5000
Cl1 Cl 0.0015 0.5007 0.2922
Cl2 Cl 0.0104 0.5052 0.1235
```

=====

No. 4
Rb5C: optimized geometry, PBE.

Summary:
DOS(E_F) (states/eV per atom): 0.643
Energy of formation from the pure elements (eV per atom): 0.795
Calculated density (Mg/m³): 1.9
M_tot (μB/atom): 0.355

Structure (CIF):
```
data_Rb5C
_symmetry_space_group_name_H-M 'C m m m'
_symmetry_Int_Tables_number 65
_symmetry_space_group_name_Hall '-C 2 2'
_cell_length_a 4.284
_cell_length_b 35.345
_cell_length_c 5.183
_cell_angle_alpha 90.00
_cell_angle_beta 90.00
_cell_angle_gamma 90.00
loop_
_atom_site_label
_atom_site_type_symbol
_atom_site_fract_x
_atom_site_fract_y
_atom_site_fract_z
Rb1 Rb 0.000 0.000 0.000
Rb2 Rb 0.000 0.075 0.500
Rb3 Rb 0.000 0.314 0.000
C1 C 0.000 0.500 0.500
```